1.
A plane-wave DFT calculation with GGA-PBE was carried out for an optimized crystal structure of MnFe2Ru.

a = 4.0869 Å, b = 4.0869 Å, c = 2.9376 Å
α = 90.00°, β = 90.00°, γ = 90.00°
Site moments in Bohr magnetons follow the coordinates.
Positions (direct):
Fe1 0.0000 0.0000 0.0000  2.23
Fe2 0.5000 0.5000 0.0000  2.23
Mn1 0.5000 0.0000 0.5000  1.99
Ru1 0.0000 0.5000 0.5000  0.44

Summary:
* density of states at the Fermi level: 1.085 states/eV per atom
* DFT formation energy: 0.16 eV/atom

=====

2.
A plane-wave DFT calculation with GGA-PBE was carried out for an optimized crystal structure of MnFeRu.

a = 2.6049 Å, b = 2.6049 Å, c = 6.2576 Å
α = 90.00°, β = 90.00°, γ = 120.00°
Site moments in Bohr magnetons follow the coordinates.
Positions (direct):
Fe1 0.0000 0.0000 0.0101  2.06
Mn1 0.3333 0.6667 0.3281  -1.13
Ru1 0.6667 0.3333 0.6618  0.12

Summary:
* density of states at the Fermi level: 1.191 states/eV per atom
* relative energy among the computed polymorphs: 0.050 eV per atom
* DFT formation energy: 0.15 eV/atom

=====

3.
A plane-wave DFT calculation with GGA-PBE was carried out for an optimized crystal structure of MnFe2Ru.

a = 2.8922 Å, b = 4.1386 Å, c = 4.1450 Å
α = 90.00°, β = 90.00°, γ = 90.00°
Site moments in Bohr magnetons follow the coordinates.
Positions (direct):
Fe1 0.0000 0.0000 0.0000  2.12
Fe2 0.5000 0.5000 0.0000  2.49
Mn1 0.5000 0.0000 0.5000  2.38
Ru1 0.0000 0.5000 0.5000  0.31

Summary:
* density of states at the Fermi level: 1.233 states/eV per atom
* DFT formation energy: 0.13 eV/atom

=====

4.
A plane-wave DFT calculation with GGA-PBE was carried out for an optimized crystal structure of MnFeRu2.

a = 4.4820 Å, b = 4.4820 Å, c = 4.5778 Å
α = 80.14°, β = 80.14°, γ = 34.30°
Site moments in Bohr magnetons follow the coordinates.
Positions (direct):
Fe1 0.7500 0.7500 0.7500  1.65
Mn1 0.2500 0.2500 0.2500  1.65
Ru1 0.9991 0.9991 0.9983  -0.14
Ru2 0.5009 0.5009 0.5017  -0.14

Summary:
* density of states at the Fermi level: 1.231 states/eV per atom
* DFT formation energy: 0.16 eV/atom

=====

5.
A plane-wave DFT calculation with GGA-PBE was carried out for an optimized crystal structure of MnFeRu2.

a = 4.9785 Å, b = 4.9785 Å, c = 4.9785 Å
α = 146.29°, β = 127.53°, γ = 63.83°
Site moments in Bohr magnetons follow the coordinates.
Positions (direct):
Fe1 0.7500 0.2500 0.5000  2.68
Mn1 0.2500 0.7500 0.5000  2.87
Ru1 0.9994 0.9994 0.0000  0.37
Ru2 0.5006 0.5006 0.0000  0.37

Summary:
* density of states at the Fermi level: 1.262 states/eV per atom
* DFT formation energy: 0.25 eV/atom

=====

6.
A plane-wave DFT calculation with GGA-PBE was carried out for an optimized crystal structure of MnFeRu.

a = 4.4509 Å, b = 4.4509 Å, c = 4.4509 Å
α = 145.97°, β = 132.19°, γ = 59.98°
Site moments in Bohr magnetons follow the coordinates.
Positions (direct):
Fe1 0.0016 0.0016 0.0000  1.74
Mn1 0.6668 0.6668 0.0000  0.90
Ru1 0.3315 0.3315 0.0000  -0.13

Summary:
* density of states at the Fermi level: 1.258 states/eV per atom
* relative energy among the computed polymorphs: 0.029 eV per atom
* DFT formation energy: 0.13 eV/atom

=====

7.
A plane-wave DFT calculation with GGA-PBE was carried out for an optimized crystal structure of MnFeRu2.

a = 2.6202 Å, b = 2.6202 Å, c = 8.6103 Å
α = 90.00°, β = 90.00°, γ = 115.63°
Site moments in Bohr magnetons follow the coordinates.
Positions (direct):
Fe1 0.0000 0.0000 0.5066  2.54
Mn1 0.5000 0.5000 0.7442  2.47
Ru1 0.0000 0.0000 0.9893  0.14
Ru2 0.5000 0.5000 0.2599  0.46

Summary:
* density of states at the Fermi level: 1.356 states/eV per atom
* DFT formation energy: 0.31 eV/atom

=====

8.
A plane-wave DFT calculation with GGA-PBE was carried out for an optimized crystal structure of MnFeRu.

a = 3.8923 Å, b = 3.8923 Å, c = 3.8923 Å
α = 60.00°, β = 60.00°, γ = 60.00°
Site moments in Bohr magnetons follow the coordinates.
Positions (direct):
Fe1 0.5000 0.5000 0.5000  1.81
Mn1 0.7500 0.7500 0.7500  -1.09
Ru1 0.0000 0.0000 0.0000  0.19

Summary:
* density of states at the Fermi level: 1.167 states/eV per atom
* relative energy among the computed polymorphs: 0.449 eV per atom
* DFT formation energy: 0.55 eV/atom

=====

9.
A plane-wave DFT calculation with GGA-PBE was carried out for an optimized crystal structure of MnFe2Ru.

a = 4.4793 Å, b = 4.4793 Å, c = 2.5654 Å
α = 90.00°, β = 90.00°, γ = 110.68°
Site moments in Bohr magnetons follow the coordinates.
Positions (direct):
Fe1 0.0000 0.0000 0.0000  -1.67
Fe2 0.5000 0.5000 0.0000  -1.67
Mn1 0.5000 0.0000 0.5000  2.50
Ru1 0.0000 0.5000 0.5000  0.25

Summary:
* density of states at the Fermi level: 0.963 states/eV per atom
* DFT formation energy: 0.08 eV/atom

=====

10.
A plane-wave DFT calculation with GGA-PBE was carried out for an optimized crystal structure of MnFeRu2.

a = 2.6326 Å, b = 2.6326 Å, c = 8.4567 Å
α = 90.00°, β = 90.00°, γ = 113.38°
Site moments in Bohr magnetons follow the coordinates.
Positions (direct):
Fe1 0.5000 0.5000 0.2500  2.76
Mn1 0.5000 0.5000 0.7500  2.81
Ru1 0.0000 0.0000 0.9984  0.37
Ru2 0.0000 0.0000 0.5016  0.37

Summary:
* density of states at the Fermi level: 1.216 states/eV per atom
* DFT formation energy: 0.26 eV/atom

=====

11.
A plane-wave DFT calculation with GGA-PBE was carried out for an optimized crystal structure of Mn6Fe2Ru.

a = 4.1357 Å, b = 4.7180 Å, c = 6.3524 Å
α = 101.85°, β = 90.00°, γ = 115.99°
Site moments in Bohr magnetons follow the coordinates.
Positions (direct):
Mn1 0.8748 0.7496 0.8299  -2.06
Mn2 0.7803 0.5605 0.1543  2.40
Mn3 0.2197 0.4395 0.8457  2.40
Mn4 0.6676 0.3353 0.5040  2.23
Mn5 0.3324 0.6647 0.4960  2.23
Mn6 0.1252 0.2504 0.1701  -2.06
Fe1 0.5489 0.0979 0.8341  2.02
Fe2 0.4511 0.9021 0.1659  2.02
Ru1 0.0000 0.0000 0.5000  -0.01

Summary:
* density of states at the Fermi level: 1.296 states/eV per atom
* DFT formation energy: 0.14 eV/atom

=====

12.
A plane-wave DFT calculation with GGA-PBE was carried out for an optimized crystal structure of Mn4Fe2Ru.

a = 6.5122 Å, b = 6.6800 Å, c = 4.7221 Å
α = 71.91°, β = 78.27°, γ = 113.60°
Site moments in Bohr magnetons follow the coordinates.
Positions (direct):
Mn1 0.6848 0.0001 0.3524  2.65
Mn2 0.8152 0.5653 0.2872  2.65
Mn3 0.9561 0.2480 0.6301  1.18
Mn4 0.5439 0.5419 0.8362  1.18
Mn5 0.2304 0.7422 0.3017  -1.03
Mn6 0.8567 0.4560 0.8542  -1.38
Mn7 0.6433 0.8494 0.9609  -1.38
Mn8 0.2696 0.7617 0.7822  -1.03
Fe1 0.1141 0.3639 0.1193  -1.16
Fe2 0.5375 0.1479 0.7887  1.43
Fe3 0.9625 0.8604 0.5761  1.43
Fe4 0.3859 0.4997 0.4834  -1.16
Ru1 0.3952 0.1794 0.3162  -0.08
Ru2 0.1048 0.0341 0.9614  -0.08

Summary:
* density of states at the Fermi level: 1.189 states/eV per atom
* DFT formation energy: 0.16 eV/atom

=====

What did the twelfth record say?
A plane-wave DFT calculation with GGA-PBE was carried out for an optimized crystal structure of Mn4Fe2Ru.

a = 6.5122 Å, b = 6.6800 Å, c = 4.7221 Å
α = 71.91°, β = 78.27°, γ = 113.60°
Site moments in Bohr magnetons follow the coordinates.
Positions (direct):
Mn1 0.6848 0.0001 0.3524  2.65
Mn2 0.8152 0.5653 0.2872  2.65
Mn3 0.9561 0.2480 0.6301  1.18
Mn4 0.5439 0.5419 0.8362  1.18
Mn5 0.2304 0.7422 0.3017  -1.03
Mn6 0.8567 0.4560 0.8542  -1.38
Mn7 0.6433 0.8494 0.9609  -1.38
Mn8 0.2696 0.7617 0.7822  -1.03
Fe1 0.1141 0.3639 0.1193  -1.16
Fe2 0.5375 0.1479 0.7887  1.43
Fe3 0.9625 0.8604 0.5761  1.43
Fe4 0.3859 0.4997 0.4834  -1.16
Ru1 0.3952 0.1794 0.3162  -0.08
Ru2 0.1048 0.0341 0.9614  -0.08

Summary:
* density of states at the Fermi level: 1.189 states/eV per atom
* DFT formation energy: 0.16 eV/atom